The following is a PBE calculation of crystalline Li5Pr2Ag12 at its relaxed geometry, from Alexandria via LeMat-Bulk.

Unit cell a=7.2220 b=7.2220 c=7.2220 alpha=81.51 beta=81.51 gamma=81.51
Fractional coordinates of all 19 atoms:
Li 0.0000 0.0000 0.5000
Li 0.0000 0.5000 0.0000
Li 0.0922 0.0922 0.0922
Li 0.5000 0.0000 0.0000
Li 0.9078 0.9078 0.9078
Pr 0.3569 0.3569 0.3569
Pr 0.6431 0.6431 0.6431
Ag 0.0000 0.3015 0.6985
Ag 0.0000 0.6985 0.3015
Ag 0.1413 0.6604 0.6604
Ag 0.3015 0.0000 0.6985
Ag 0.3015 0.6985 0.0000
Ag 0.3396 0.3396 0.8587
Ag 0.3396 0.8587 0.3396
Ag 0.6604 0.1413 0.6604
Ag 0.6604 0.6604 0.1413
Ag 0.6985 0.0000 0.3015
Ag 0.6985 0.3015 0.0000
Ag 0.8587 0.3396 0.3396

Energy of formation, eV per atom: -0.1883
Symmetry: No. 166
Crystal system: trigonal
M_tot, μB/atom: 0.0000

The following is a PBE calculation of crystalline Li2Pr3Ag4 at its relaxed geometry, from Alexandria via LeMat-Bulk.

Unit cell a=5.7892 b=5.7892 c=9.2483 alpha=96.95 beta=96.95 gamma=46.12
Fractional coordinates of all 9 atoms:
Li 0.1804 0.1804 0.2842
Li 0.8196 0.8196 0.7158
Pr 0.1254 0.1254 0.8841
Pr 0.5000 0.5000 0.5000
Pr 0.8746 0.8746 0.1159
Ag 0.2180 0.2180 0.5830
Ag 0.4163 0.4163 0.8579
Ag 0.5837 0.5837 0.1421
Ag 0.7820 0.7820 0.4170

Energy of formation, eV per atom: -0.1806
Symmetry: No. 12
Crystal system: monoclinic
M_tot, μB/atom: 0.0000
Distance to the lowest polymorph of the same formula, meV per atom: 15

The following is a PBE calculation of crystalline Li3Pr2Ag3 at its relaxed geometry, from Alexandria via LeMat-Bulk.

Unit cell a=8.3462 b=8.3462 c=6.8001 alpha=90.00 beta=90.00 gamma=120.00
Fractional coordinates of all 16 atoms:
Li 0.0000 0.2465 0.2500
Li 0.0000 0.7535 0.7500
Li 0.2465 0.0000 0.2500
Li 0.2465 0.2465 0.7500
Li 0.7535 0.0000 0.7500
Li 0.7535 0.7535 0.2500
Pr 0.3333 0.6667 0.0000
Pr 0.3333 0.6667 0.5000
Pr 0.6667 0.3333 0.0000
Pr 0.6667 0.3333 0.5000
Ag 0.0000 0.3764 0.7500
Ag 0.0000 0.6236 0.2500
Ag 0.3764 0.0000 0.7500
Ag 0.3764 0.3764 0.2500
Ag 0.6236 0.0000 0.2500
Ag 0.6236 0.6236 0.7500

Energy of formation, eV per atom: -0.0682
Symmetry: No. 193
Crystal system: hexagonal
M_tot, μB/atom: 0.0000

The following is a PBE calculation of crystalline Li2PrAg at its relaxed geometry, from Alexandria via LeMat-Bulk.

Unit cell a=3.4069 b=3.4069 c=7.5016 alpha=90.00 beta=90.00 gamma=90.00
Fractional coordinates of all 4 atoms:
Li 0.0000 0.0000 0.1819
Li 0.0000 0.0000 0.8181
Pr 0.5000 0.5000 0.5000
Ag 0.5000 0.5000 0.0000

Energy of formation, eV per atom: -0.0413
Symmetry: No. 123
Crystal system: tetragonal
M_tot, μB/atom: 0.0001
Distance to the lowest polymorph of the same formula, meV per atom: 58

The following is a PBE calculation of crystalline LiPrAg4 at its relaxed geometry, from Alexandria via LeMat-Bulk.

Unit cell a=4.7587 b=4.7587 c=6.5904 alpha=90.00 beta=90.00 gamma=120.00
Fractional coordinates of all 6 atoms:
Li 0.0000 0.0000 0.0000
Pr 0.0000 0.0000 0.5000
Ag 0.3333 0.6667 0.2165
Ag 0.3333 0.6667 0.7835
Ag 0.6667 0.3333 0.2165
Ag 0.6667 0.3333 0.7835

Energy of formation, eV per atom: -0.1470
Symmetry: No. 191
Crystal system: hexagonal
M_tot, μB/atom: 0.0000
Distance to the lowest polymorph of the same formula, meV per atom: 21

The following is a PBE calculation of crystalline Li4PrAg12 at its relaxed geometry, from Alexandria via LeMat-Bulk.

Unit cell a=7.5546 b=7.5546 c=7.5546 alpha=109.47 beta=109.47 gamma=109.47
Fractional coordinates of all 17 atoms:
Li 0.0000 0.0000 0.5000
Li 0.0000 0.5000 0.0000
Li 0.5000 0.0000 0.0000
Li 0.5000 0.5000 0.5000
Pr 0.0000 0.0000 0.0000
Ag 0.1605 0.3429 0.5033
Ag 0.1605 0.6571 0.8176
Ag 0.1824 0.8395 0.3429
Ag 0.3429 0.1824 0.8395
Ag 0.3429 0.5033 0.1605
Ag 0.4967 0.8395 0.6571
Ag 0.5033 0.1605 0.3429
Ag 0.6571 0.4967 0.8395
Ag 0.6571 0.8176 0.1605
Ag 0.8176 0.1605 0.6571
Ag 0.8395 0.3429 0.1824
Ag 0.8395 0.6571 0.4967

Energy of formation, eV per atom: 0.1558
Symmetry: No. 204
Crystal system: cubic
M_tot, μB/atom: 0.0000

The following is a PBE calculation of crystalline Li2Pr3Ag4 at its relaxed geometry, from Alexandria via LeMat-Bulk.

Unit cell a=5.9703 b=5.9703 c=9.0262 alpha=113.42 beta=113.42 gamma=47.75
Fractional coordinates of all 9 atoms:
Li 0.1524 0.1524 0.3186
Li 0.8476 0.8476 0.6814
Pr 0.1492 0.1492 0.6823
Pr 0.5000 0.5000 0.0000
Pr 0.8508 0.8508 0.3177
Ag 0.2202 0.2202 0.0643
Ag 0.4211 0.4211 0.5991
Ag 0.5789 0.5789 0.4009
Ag 0.7798 0.7798 0.9357

Energy of formation, eV per atom: -0.1956
Symmetry: No. 12
Crystal system: monoclinic
M_tot, μB/atom: 0.0002
Distance to the lowest polymorph of the same formula, meV per atom: 0

The following is a PBE calculation of crystalline LiPrAg3 at its relaxed geometry, from Alexandria via LeMat-Bulk.

Unit cell a=6.7020 b=6.7020 c=5.4980 alpha=90.00 beta=90.00 gamma=120.00
Fractional coordinates of all 10 atoms:
Li 0.0000 0.0000 0.0000
Li 0.0000 0.0000 0.5000
Pr 0.3333 0.6667 0.2500
Pr 0.6667 0.3333 0.7500
Ag 0.1905 0.3809 0.7500
Ag 0.1905 0.8095 0.7500
Ag 0.3809 0.1905 0.2500
Ag 0.6191 0.8095 0.7500
Ag 0.8095 0.1905 0.2500
Ag 0.8095 0.6191 0.2500

Energy of formation, eV per atom: -0.1602
Symmetry: No. 194
Crystal system: hexagonal
M_tot, μB/atom: 0.0000
Distance to the lowest polymorph of the same formula, meV per atom: 28

Number 1: total DFT energy (no corrections) -56.92 eV for the cell shown. Number 2: total DFT energy (no corrections) -31.20 eV for the cell shown. Number 3: total DFT energy (no corrections) -48.80 eV for the cell shown. Number 4: total DFT energy (no corrections) -11.62 eV for the cell shown. Number 5: total DFT energy (no corrections) -18.98 eV for the cell shown. Number 6: total DFT energy (no corrections) -44.00 eV for the cell shown. Number 7: total DFT energy (no corrections) -31.33 eV for the cell shown. Number 8: total DFT energy (no corrections) -32.10 eV for the cell shown.